# NbI4, relaxed, DFT PBE
data_NbI4
_chemical_formula_sum 'Nb2 I8'
_cell_length_a 8.3719
_cell_length_b 8.3719
_cell_length_c 9.1675
_cell_angle_alpha 90.00
_cell_angle_beta 90.00
_cell_angle_gamma 90.00
_space_group_name_H-M_alt 'I -4 2 m'
_space_group_IT_number 121
_space_group_name_Hall 'I -4 2'
loop_
_atom_site_label
_atom_site_type_symbol
_atom_site_fract_x
_atom_site_fract_y
_atom_site_fract_z
Nb1 Nb 0.0000 0.0000 0.0000
I1 I 0.1820 0.1820 0.8348
# **Magnetization**: 1.00 μB/f.u.
# **Calculated volume**: 643 Å³ per cell
# **DOS(E_F)**: 1.2265 states/eV/atom
# **Uncorrected energy**: -36.18 eV per cell